No. 1
{
  "formula": "PmSn2Au",
  "functional": "PBE",
  "state": "optimized geometry",
  "lattice_angstrom": [[5.4932, 0.0000, 0.0000], [2.7466, 4.7572, 0.0000], [2.7466, 1.5857, 3.9208]],
  "species": ["Pm", "Au", "Sn", "Sn"],
  "fractional_positions": [[0.5000, 0.5000, 0.5000], [0.0000, 0.0000, 0.0000], [0.7632, 0.7632, 0.7105], [0.2368, 0.2368, 0.2895]],
  "de_polymorph_ev_per_fu": 1.15,
  "e_tot_ry_per_atom": -0.3178,
  "ef_ev_per_fu": -1.26,
  "sg": "R-3m, No. 166",
  "m_tot_mub_per_atom": 0.00,
  "dos_at_fermi_per_ev_cell": 2.3
}


No. 2
{
  "formula": "Ce2Be4GaGe3",
  "functional": "PBE",
  "state": "optimized geometry",
  "lattice_angstrom": [[-3.2836, -2.2591, -0.8883], [1.7481, -3.2374, 1.7715], [-3.9464, 2.4466, 8.3658]],
  "species": ["Ge", "Ge", "Ge", "Ce", "Ce", "Be", "Be", "Be", "Be", "Ga"],
  "fractional_positions": [[0.5000, 0.0000, 0.8713], [0.0000, 0.5000, 0.1287], [0.0000, 0.0000, 0.5000], [0.0000, 0.5000, 0.7528], [0.5000, 0.0000, 0.2472], [0.0000, 0.5000, 0.3692], [0.5000, 0.0000, 0.6308], [0.0000, 0.0000, 0.0000], [0.5000, 0.5000, 0.0000], [0.5000, 0.5000, 0.5000]],
  "e_tot_ry_per_atom": -0.3482,
  "ef_ev_per_fu": -3.73,
  "sg": "P-4m2, No. 115",
  "m_tot_mub_per_atom": 0.16,
  "dos_at_fermi_per_ev_cell": 12.1
}


No. 3
{
  "formula": "CaYGa2S",
  "functional": "PBE",
  "state": "optimized geometry",
  "lattice_angstrom": [[-1.7093, -4.6279, -2.0494], [-0.1054, -2.6658, 6.1079], [-5.0607, 1.5988, 0.6105]],
  "species": ["Y", "Ga", "Ga", "Ca", "S"],
  "fractional_positions": [[0.0000, 0.0000, 0.0000], [0.0000, 0.0000, 0.5000], [0.5000, 0.0000, 0.0000], [0.0000, 0.5000, 0.0000], [0.5000, 0.5000, 0.5000]],
  "e_tot_ry_per_atom": -0.2207,
  "sg": "P4/mmm, No. 123",
  "m_tot_mub_per_atom": 0.02,
  "dos_at_fermi_per_ev_cell": 6.1
}


What is the formula in the second record?
Ce2Be4GaGe3


Which formula does entry 1 have?
PmSn2Au